Entry 1:
A plane-wave DFT calculation with PBE was carried out for crystalline Be2GeSO at its relaxed geometry.

abc: 3.7598 3.7598 5.6452
angles: 90.00 90.00 90.00
Last column: nearest neighbours and their distance in Å.
Fractional coordinates of all 5 atoms:
Be 0.0000 0.5000 0.0000  2 S 1.88
Be 0.5000 0.0000 0.0000  2 S 1.88
Ge 0.0000 0.0000 0.5000  4 O 2.66, 2 S 2.82
S 0.0000 0.0000 0.0000  4 Be 1.88
O 0.5000 0.5000 0.5000  4 Ge 2.66

The uncorrected formation energy comes out at 15.11 kcal/mol of atoms. As for the total energy: -17.878 eV per cell. The value obtained for the mass density is 2.89 g cm⁻³. The calculation puts the total magnetization at 0.0 μB per cell.

Entry 2:
A plane-wave DFT calculation with PBE was carried out for crystalline Be2GeSO at its relaxed geometry.

abc: 3.9483 3.9483 4.3897
angles: 90.00 90.00 90.00
Last column: nearest neighbours and their distance in Å.
Fractional coordinates of all 5 atoms:
Be 0.0000 0.5000 0.0000  2 S 1.97
Be 0.5000 0.0000 0.0000  2 S 1.97
Ge 0.0000 0.0000 0.5000  4 O 2.79, 8 Be 2.95
S 0.5000 0.5000 0.0000  4 Be 1.97, 2 O 2.19
O 0.5000 0.5000 0.5000  2 S 2.19

The uncorrected formation energy comes out at 11.62 kcal/mol of atoms. As for the total energy: -18.636 eV per cell. The value obtained for the mass density is 3.37 g cm⁻³. The calculation puts the total magnetization at 0.0 μB per cell.

Entry 3:
A plane-wave DFT calculation with PBE was carried out for crystalline BeGeSbO6 at its relaxed geometry.

abc: 4.8766 4.8766 8.3672
angles: 90.00 90.00 120.00
Last column: nearest neighbours and their distance in Å.
Fractional coordinates of all 18 atoms:
Be 0.3333 0.6667 0.2500  6 O 1.85
Be 0.6667 0.3333 0.7500  6 O 1.85
Ge 0.0000 0.0000 0.0000  6 O 1.94
Ge 0.0000 0.0000 0.5000  6 O 1.94
Sb 0.3333 0.6667 0.7500  6 O 2.00
Sb 0.6667 0.3333 0.2500  6 O 2.00
O 0.0241 0.3455 0.1265  1 Be 1.85, 1 Ge 1.94, 1 Sb 2.00
O 0.0241 0.6786 0.3735  1 Be 1.85, 1 Ge 1.94, 1 Sb 2.00
O 0.3214 0.3455 0.3735  1 Be 1.85, 1 Ge 1.94, 1 Sb 2.00
O 0.3214 0.9759 0.1265  1 Be 1.85, 1 Ge 1.94, 1 Sb 2.00
O 0.3455 0.0241 0.6265  1 Be 1.85, 1 Ge 1.94, 1 Sb 2.00
O 0.3455 0.3214 0.8735  1 Be 1.85, 1 Ge 1.94, 1 Sb 2.00
O 0.6545 0.6786 0.1265  1 Be 1.85, 1 Ge 1.94, 1 Sb 2.00
O 0.6545 0.9759 0.3735  1 Be 1.85, 1 Ge 1.94, 1 Sb 2.00
O 0.6786 0.0241 0.8735  1 Be 1.85, 1 Ge 1.94, 1 Sb 2.00
O 0.6786 0.6545 0.6265  1 Be 1.85, 1 Ge 1.94, 1 Sb 2.00
O 0.9759 0.3214 0.6265  1 Be 1.85, 1 Ge 1.94, 1 Sb 2.00
O 0.9759 0.6545 0.8735  1 Be 1.85, 1 Ge 1.94, 1 Sb 2.00

The uncorrected formation energy comes out at -31.89 kcal/mol of atoms. As for the total energy: -109.319 eV per cell. The value obtained for the mass density is 5.77 g cm⁻³. The calculation puts the total magnetization at 2.0 μB per cell.

Entry 4:
A plane-wave DFT calculation with PBE was carried out for crystalline ScBeGeO2 at its relaxed geometry.

abc: 3.7997 3.7997 5.5843
angles: 90.00 90.00 90.00
Last column: nearest neighbours and their distance in Å.
Fractional coordinates of all 5 atoms:
Sc 0.0000 0.0000 0.0000  4 Be 2.69, 2 Ge 2.79
Be 0.5000 0.5000 0.0000  4 Sc 2.69
Ge 0.0000 0.0000 0.5000  4 O 1.90
O 0.0000 0.5000 0.5000  2 Ge 1.90
O 0.5000 0.0000 0.5000  2 Ge 1.90

The uncorrected formation energy comes out at 1.59 kcal/mol of atoms. As for the total energy: -24.246 eV per cell. The value obtained for the mass density is 3.27 g cm⁻³. The calculation puts the total magnetization at 0.0 μB per cell.

Entry 5:
A plane-wave DFT calculation with PBE was carried out for crystalline ScBe2GeO6 at its relaxed geometry.

abc: 6.4900 6.4900 5.4915
angles: 108.93 108.93 82.97
Last column: nearest neighbours and their distance in Å.
Fractional coordinates of all 20 atoms:
Sc 0.1046 0.8954 0.7500  6 O 2.01-2.19
Sc 0.8954 0.1046 0.2500  6 O 2.01-2.19
Be 0.2321 0.3815 0.8501  4 O 1.60-1.72
Be 0.3815 0.2321 0.3501  4 O 1.60-1.72
Be 0.6185 0.7679 0.6499  4 O 1.60-1.72
Be 0.7679 0.6185 0.1499  4 O 1.60-1.72
Ge 0.2634 0.7366 0.2500  6 O 1.84-1.99
Ge 0.7366 0.2634 0.7500  6 O 1.84-1.99
O 0.0272 0.2157 0.6914  1 Be 1.64
O 0.1593 0.6310 0.8786  1 Be 1.60
O 0.2157 0.0272 0.1914  1 Be 1.64
O 0.3072 0.4192 0.1919  2 Be 1.65-1.72
O 0.3690 0.8407 0.6214  1 Be 1.60
O 0.4192 0.3072 0.6919  2 Be 1.65-1.72
O 0.5808 0.6928 0.3081  2 Be 1.65-1.72
O 0.6310 0.1593 0.3786  1 Be 1.60
O 0.6928 0.5808 0.8081  2 Be 1.65-1.72
O 0.7843 0.9728 0.8086  1 Be 1.64
O 0.8407 0.3690 0.1214  1 Be 1.60
O 0.9728 0.7843 0.3086  1 Be 1.64

The uncorrected formation energy comes out at -53.18 kcal/mol of atoms. As for the total energy: -142.427 eV per cell. The value obtained for the mass density is 3.72 g cm⁻³. The calculation puts the total magnetization at 2.0 μB per cell.

Entry 6:
A plane-wave DFT calculation with PBE was carried out for crystalline BeSiGeO2 at its relaxed geometry.

abc: 3.4869 3.4869 4.9300
angles: 90.00 90.00 90.00
Last column: nearest neighbours and their distance in Å.
Fractional coordinates of all 5 atoms:
Be 0.0000 0.0000 0.0000  4 O 1.74
Si 0.0000 0.0000 0.5000  2 Be 2.46, 4 Ge 2.47
Ge 0.5000 0.5000 0.5000  4 Si 2.47
O 0.0000 0.5000 0.0000  2 Be 1.74
O 0.5000 0.0000 0.0000  2 Be 1.74

The uncorrected formation energy comes out at -5.43 kcal/mol of atoms. As for the total energy: -24.861 eV per cell. The value obtained for the mass density is 3.93 g cm⁻³. The calculation puts the total magnetization at 0.8 μB per cell.

Entry 7:
A plane-wave DFT calculation with PBE was carried out for crystalline BeSi2GeO at its relaxed geometry.

abc: 4.0408 4.0408 4.4473
angles: 90.00 90.00 90.00
Last column: nearest neighbours and their distance in Å.
Fractional coordinates of all 5 atoms:
Be 0.0000 0.0000 0.0000  4 Ge 2.86, 8 Si 3.00
Si 0.0000 0.5000 0.5000  2 O 2.02
Si 0.5000 0.0000 0.5000  2 O 2.02
Ge 0.5000 0.5000 0.0000  2 O 2.22
O 0.5000 0.5000 0.5000  4 Si 2.02, 2 Ge 2.22

The uncorrected formation energy comes out at 9.13 kcal/mol of atoms. As for the total energy: -22.169 eV per cell. The value obtained for the mass density is 3.52 g cm⁻³. The calculation puts the total magnetization at 0.0 μB per cell.

Entry 8:
A plane-wave DFT calculation with PBE was carried out for crystalline Sm2Be2GeO7 at its relaxed geometry.

abc: 7.5653 7.5653 4.8894
angles: 90.00 90.00 90.00
Last column: nearest neighbours and their distance in Å.
Fractional coordinates of all 24 atoms:
Sm 0.1590 0.3410 0.0044  6 O 2.33-2.51
Sm 0.3410 0.8410 0.9956  6 O 2.33-2.51
Sm 0.6590 0.1590 0.9956  6 O 2.33-2.51
Sm 0.8410 0.6590 0.0044  6 O 2.33-2.51
Be 0.1337 0.6337 0.5429  4 O 1.57-1.72
Be 0.3663 0.1337 0.4571  4 O 1.57-1.72
Be 0.6337 0.8663 0.4571  4 O 1.57-1.72
Be 0.8663 0.3663 0.5429  4 O 1.57-1.72
Ge 0.0000 0.0000 0.5000  4 O 1.77
Ge 0.5000 0.5000 0.5000  4 O 1.77
O 0.0000 0.5000 0.6775  2 Be 1.57
O 0.0794 0.8271 0.7092  1 Be 1.72, 1 Ge 1.77
O 0.1417 0.6417 0.2182  1 Be 1.59
O 0.1729 0.0794 0.2908  1 Be 1.72, 1 Ge 1.77
O 0.3271 0.5794 0.7092  1 Be 1.72, 1 Ge 1.77
O 0.3583 0.1417 0.7818  1 Be 1.59
O 0.4206 0.3271 0.2908  1 Be 1.72, 1 Ge 1.77
O 0.5000 0.0000 0.3225  2 Be 1.57
O 0.5794 0.6729 0.2908  1 Be 1.72, 1 Ge 1.77
O 0.6417 0.8583 0.7818  1 Be 1.59
O 0.6729 0.4206 0.7092  1 Be 1.72, 1 Ge 1.77
O 0.8271 0.9206 0.2908  1 Be 1.72, 1 Ge 1.77
O 0.8583 0.3583 0.2182  1 Be 1.59
O 0.9206 0.1729 0.7092  1 Be 1.72, 1 Ge 1.77

The uncorrected formation energy comes out at -65.82 kcal/mol of atoms. As for the total energy: -180.930 eV per cell. The value obtained for the mass density is 5.97 g cm⁻³. The calculation puts the total magnetization at 0.0 μB per cell.

Entry 9:
A plane-wave DFT calculation with PBE was carried out for crystalline SmBe4Ge3O12 at its relaxed geometry.

abc: 6.1686 6.1686 6.1686
angles: 105.77 105.77 105.77
Last column: nearest neighbours and their distance in Å.
Fractional coordinates of all 20 atoms:
Sm 0.0000 0.0000 0.0000  6 O 2.39
Be 0.0663 0.5000 0.9337  3 O 1.54-1.56
Be 0.5000 0.5000 0.5000  3 O 1.56
Be 0.5000 0.9337 0.0663  3 O 1.54-1.56
Be 0.9337 0.0663 0.5000  3 O 1.54-1.56
Ge 0.0000 0.5607 0.4393  6 O 1.87-1.96
Ge 0.4393 0.0000 0.5607  6 O 1.87-1.96
Ge 0.5607 0.4393 0.0000  6 O 1.87-1.96
O 0.0314 0.6399 0.7635  1 Be 1.54
O 0.0921 0.9079 0.5000  1 Be 1.56
O 0.2365 0.3601 0.9686  1 Be 1.54
O 0.3414 0.6586 0.5000  1 Be 1.56
O 0.3601 0.9686 0.2365  1 Be 1.54
O 0.5000 0.0921 0.9079  1 Be 1.56
O 0.5000 0.3414 0.6586  1 Be 1.56
O 0.6399 0.7635 0.0314  1 Be 1.54
O 0.6586 0.5000 0.3414  1 Be 1.56
O 0.7635 0.0314 0.6399  1 Be 1.54
O 0.9079 0.5000 0.0921  1 Be 1.56
O 0.9686 0.2365 0.3601  1 Be 1.54

The uncorrected formation energy comes out at -49.51 kcal/mol of atoms. As for the total energy: -135.913 eV per cell. The value obtained for the mass density is 4.91 g cm⁻³. The calculation puts the total magnetization at 1.1 μB per cell.